1.
VASP calculation (PBE) on a relaxed structure of InMo2As.

Geometry as POSCAR:
```
InMo2As
1.0
5.3314 -0.0058 -0.0018
2.3237 4.7984 0.0018
-3.3795 -3.1121 2.7053
Mo As In
2 1 1
direct
0.9811 0.9811 0.0000
0.7464 0.2464 0.5000
0.5232 0.5232 0.0000
0.2494 0.7494 0.5000
```

Results
Formation energy from the elements, eV/atom: 0.33

=====

2.
VASP calculation (PBE) on a relaxed structure of Hf2TiS2.

Geometry as POSCAR:
```
Hf2TiS2
1.0
-1.0986 -6.1352 2.9623
5.5669 -2.5382 -3.1923
1.9424 0.9305 2.6474
S Hf Ti
4 4 2
direct
0.3513 0.8513 0.0000
0.8513 0.6487 0.0000
0.6487 0.1487 0.0000
0.1487 0.3513 0.0000
0.1584 0.6584 0.5000
0.6584 0.8416 0.5000
0.8416 0.3416 0.5000
0.3416 0.1584 0.5000
0.0000 0.0000 0.0000
0.5000 0.5000 0.0000
```

Results
ΔE_f (raw), eV/atom: -0.99

=====

3.
VASP calculation (PBE) on a relaxed structure of MgTa2HgPd.

Geometry as POSCAR:
```
MgTa2HgPd
1.0
-4.2090 -2.3263 0.3221
1.3575 -2.8892 -3.1290
1.8366 -2.8485 3.4270
Mg Hg Pd Ta
1 1 1 2
direct
0.0000 0.0000 0.0000
0.5000 0.5000 0.5000
0.0000 0.5000 0.0000
0.0000 0.0000 0.5000
0.5000 0.0000 0.0000
```

Results
Formation energy from the elements, eV/atom: 1.46